Record 1
Compound: TaReHg2
Source: Alexandria via LeMat-Bulk
Functional: PBE
Structure: optimized geometry

## Properties
For the energy relative to the lowest polymorph listed for this composition, the calculation gives 0.2187 eV per atom. The calculation puts the final energy at -5.654 eV/atom. The total magnetic moment is 0.0 μB per formula unit. The space group is C2/m.

Cell and atoms, written as POSCAR:
```
TaReHg2
1.0
4.976 -1.631 0.000
4.976 1.631 0.000
-1.147 0.000 4.539
Ta Re Hg
1 1 2
Direct
0.000 0.000 0.000
0.500 0.500 0.500
0.247 0.247 0.747
0.753 0.753 0.253
```

=====

Record 2
Compound: Ta2ReHg
Source: Alexandria via LeMat-Bulk
Functional: PBE
Structure: optimized geometry

## Properties
The calculation puts the final energy at -8.926 eV/atom. The total magnetic moment is 0.0 μB per formula unit. The space group is P2/m.

Cell and atoms, written as POSCAR:
```
Ta2ReHg
1.0
2.923 0.000 0.000
0.000 4.219 0.000
-0.828 0.000 5.806
Ta Re Hg
2 1 1
Direct
0.070 0.000 0.275
0.930 0.000 0.725
0.500 0.500 0.500
0.500 0.500 0.000
```

=====

Record 3
Compound: Ta4ReHg
Source: Alexandria via LeMat-Bulk
Functional: PBE
Structure: optimized geometry

## Properties
The calculation puts the final energy at -9.483 eV/atom. The total magnetic moment is 0.0 μB per formula unit. The space group is F-43m.

Cell and atoms, written as POSCAR:
```
Ta4ReHg
1.0
0.000 3.815 3.815
3.815 0.000 3.815
3.815 3.815 0.000
Ta Re Hg
4 1 1
Direct
0.376 0.376 0.376
0.376 0.376 0.871
0.376 0.871 0.376
0.871 0.376 0.376
0.750 0.750 0.750
0.000 0.000 0.000
```

=====

Record 4
Compound: TaReHg2
Source: Alexandria via LeMat-Bulk
Functional: PBE
Structure: optimized geometry

## Properties
For the energy relative to the lowest polymorph listed for this composition, the calculation gives 0.3315 eV per atom. The calculation puts the final energy at -5.541 eV/atom. The total magnetic moment is 0.0 μB per formula unit. The space group is C2/m.

Cell and atoms, written as POSCAR:
```
TaReHg2
1.0
2.834 -4.930 0.000
2.834 4.930 0.000
-1.029 0.000 2.660
Ta Re Hg
1 1 2
Direct
0.000 0.000 0.000
0.500 0.500 0.000
0.000 0.500 0.500
0.500 0.000 0.500
```

=====

Record 5
Compound: TaReHg2
Source: Alexandria via LeMat-Bulk
Functional: PBE
Structure: optimized geometry

## Properties
For the energy relative to the lowest polymorph listed for this composition, the calculation gives 0.1942 eV per atom. The calculation puts the final energy at -5.678 eV/atom. The total magnetic moment is 0.0 μB per formula unit. The space group is Imm2.

Cell and atoms, written as POSCAR:
```
TaReHg2
1.0
-1.637 2.433 4.861
1.637 -2.433 4.861
1.637 2.433 -4.861
Ta Re Hg
1 1 2
Direct
0.000 0.000 0.000
0.805 0.305 0.500
0.272 0.772 0.500
0.544 0.544 0.000
```

=====

Record 6
Compound: TaReHg2
Source: Alexandria via LeMat-Bulk
Functional: PBE
Structure: optimized geometry

## Properties
For the energy relative to the lowest polymorph listed for this composition, the calculation gives 0.0000 eV per atom. The calculation puts the final energy at -5.873 eV/atom. The total magnetic moment is 0.0 μB per formula unit. The space group is R3m.

Cell and atoms, written as POSCAR:
```
TaReHg2
1.0
1.584 0.914 9.470
-1.584 0.914 9.470
0.000 -1.829 9.470
Ta Re Hg
1 1 2
Direct
0.000 0.000 0.000
0.272 0.272 0.272
0.518 0.518 0.518
0.755 0.755 0.755
```

=====

Record 7
Compound: TaReHg2
Source: Alexandria via LeMat-Bulk
Functional: PBE
Structure: optimized geometry

## Properties
For the energy relative to the lowest polymorph listed for this composition, the calculation gives 0.0012 eV per atom. The calculation puts the final energy at -5.871 eV/atom. The total magnetic moment is 0.0 μB per formula unit. The space group is Cmm2.

Cell and atoms, written as POSCAR:
```
TaReHg2
1.0
1.605 -2.492 0.000
1.605 2.492 0.000
0.000 0.000 9.862
Ta Re Hg
1 1 2
Direct
0.000 0.000 0.000
0.500 0.500 0.800
0.000 0.000 0.544
0.500 0.500 0.261
```

=====

Record 8
Compound: TaReHg2
Source: Alexandria via LeMat-Bulk
Functional: PBE
Structure: optimized geometry

## Properties
For the energy relative to the lowest polymorph listed for this composition, the calculation gives 0.0102 eV per atom. The calculation puts the final energy at -5.862 eV/atom. The total magnetic moment is 0.0 μB per formula unit. The space group is P4mm.

Cell and atoms, written as POSCAR:
```
TaReHg2
1.0
3.171 0.000 0.000
0.000 3.171 0.000
0.000 0.000 8.015
Ta Re Hg
1 1 2
Direct
0.000 0.000 0.000
0.500 0.500 0.831
0.000 0.000 0.573
0.500 0.500 0.278
```

=====

Record 9
Compound: Ta2ReHg
Source: Alexandria via LeMat-Bulk
Functional: PBE
Structure: optimized geometry

## Properties
The calculation puts the final energy at -8.888 eV/atom. The total magnetic moment is 0.0 μB per formula unit. The space group is Cmmm.

Cell and atoms, written as POSCAR:
```
Ta2ReHg
1.0
2.915 -3.860 0.000
2.915 3.860 0.000
0.000 0.000 3.134
Ta Re Hg
2 1 1
Direct
0.000 0.500 0.000
0.500 0.000 0.000
0.000 0.000 0.500
0.500 0.500 0.500
```

=====

Record 10
Compound: Ta2ReHg
Source: Alexandria via LeMat-Bulk
Functional: PBE
Structure: optimized geometry

## Properties
The calculation puts the final energy at -8.370 eV/atom. The total magnetic moment is 0.0 μB per formula unit. The space group is I-42d.

Cell and atoms, written as POSCAR:
```
Ta2ReHg
1.0
-3.755 3.755 2.808
3.755 -3.755 2.808
3.755 3.755 -2.808
Ta Re Hg
4 2 2
Direct
0.086 0.125 0.461
0.375 0.914 0.039
0.664 0.625 0.539
0.875 0.336 0.961
0.000 0.000 0.000
0.750 0.250 0.500
0.250 0.750 0.500
0.500 0.500 0.000
```

=====

Record 11
Compound: TaRe3Hg
Source: Alexandria via LeMat-Bulk
Functional: PBE
Structure: optimized geometry

## Properties
For the energy relative to the lowest polymorph listed for this composition, the calculation gives 0.0000 eV per atom. The calculation puts the final energy at -7.576 eV/atom. The total magnetic moment is 2.5 μB per formula unit. The space group is Pm-3m.

Cell and atoms, written as POSCAR:
```
TaRe3Hg
1.0
4.799 0.000 0.000
0.000 4.799 0.000
0.000 0.000 4.799
Ta Re Hg
1 3 1
Direct
0.000 0.000 0.000
0.000 0.000 0.500
0.000 0.500 0.000
0.500 0.000 0.000
0.500 0.500 0.500
```

=====

Record 12
Compound: TaReHg4
Source: Alexandria via LeMat-Bulk
Functional: PBE
Structure: optimized geometry

## Properties
The calculation puts the final energy at -3.166 eV/atom. The total magnetic moment is 0.1 μB per formula unit. The space group is F-43m.

Cell and atoms, written as POSCAR:
```
TaReHg4
1.0
0.000 3.906 3.906
3.906 0.000 3.906
3.906 3.906 0.000
Ta Re Hg
1 1 4
Direct
0.000 0.000 0.000
0.250 0.250 0.250
0.125 0.625 0.625
0.625 0.125 0.625
0.625 0.625 0.125
0.625 0.625 0.625
```

=====

Record 13
Compound: TaReHg2
Source: Alexandria via LeMat-Bulk
Functional: PBE
Structure: optimized geometry

## Properties
For the energy relative to the lowest polymorph listed for this composition, the calculation gives 0.1488 eV per atom. The calculation puts the final energy at -5.724 eV/atom. The total magnetic moment is 0.0 μB per formula unit. The space group is Pm.

Cell and atoms, written as POSCAR:
```
TaReHg2
1.0
2.948 0.000 0.000
0.000 4.173 0.000
-0.110 0.000 6.209
Ta Re Hg
1 1 2
Direct
0.000 0.000 0.000
0.658 0.500 0.806
0.097 0.000 0.536
0.564 0.500 0.275
```

=====

Record 14
Compound: TaReHg2
Source: Alexandria via LeMat-Bulk
Functional: PBE
Structure: optimized geometry

## Properties
For the energy relative to the lowest polymorph listed for this composition, the calculation gives 0.3031 eV per atom. The calculation puts the final energy at -5.569 eV/atom. The total magnetic moment is 0.0 μB per formula unit. The space group is P2/m.

Cell and atoms, written as POSCAR:
```
TaReHg2
1.0
2.838 0.000 0.000
0.000 4.874 0.000
-1.019 0.000 5.366
Ta Re Hg
1 1 2
Direct
0.000 0.000 0.000
0.500 0.000 0.500
0.314 0.500 0.746
0.686 0.500 0.254
```

=====

Record 15
Compound: TaReHg2
Source: Alexandria via LeMat-Bulk
Functional: PBE
Structure: optimized geometry

## Properties
For the energy relative to the lowest polymorph listed for this composition, the calculation gives 0.3448 eV per atom. The calculation puts the final energy at -5.528 eV/atom. The total magnetic moment is 0.0 μB per formula unit. The space group is Pmmm.

Cell and atoms, written as POSCAR:
```
TaReHg2
1.0
2.842 0.000 0.000
0.000 4.561 0.000
0.000 0.000 5.666
Ta Re Hg
1 1 2
Direct
0.000 0.000 0.000
0.000 0.000 0.500
0.500 0.500 0.251
0.500 0.500 0.749
```

=====

Record 16
Compound: TaRe3Hg
Source: Alexandria via LeMat-Bulk
Functional: PBE
Structure: optimized geometry

## Properties
For the energy relative to the lowest polymorph listed for this composition, the calculation gives 0.8403 eV per atom. The calculation puts the final energy at -6.735 eV/atom. The total magnetic moment is 0.0 μB per formula unit. The space group is Pm-3m.

Cell and atoms, written as POSCAR:
```
TaRe3Hg
1.0
4.786 0.000 0.000
0.000 4.786 0.000
0.000 0.000 4.786
Ta Re Hg
1 3 1
Direct
0.000 0.000 0.000
0.000 0.500 0.500
0.500 0.000 0.500
0.500 0.500 0.000
0.500 0.500 0.500
```

=====

Record 17
Compound: Ta2ReHg
Source: Alexandria via LeMat-Bulk
Functional: PBE
Structure: optimized geometry

## Properties
The calculation puts the final energy at -8.649 eV/atom. The total magnetic moment is 0.1 μB per formula unit. The space group is F-43m.

Cell and atoms, written as POSCAR:
```
Ta2ReHg
1.0
0.000 3.285 3.285
3.285 0.000 3.285
3.285 3.285 0.000
Ta Re Hg
2 1 1
Direct
0.000 0.000 0.000
0.250 0.250 0.250
0.500 0.500 0.500
0.750 0.750 0.750
```

=====

Record 18
Compound: Ta2ReHg
Source: Alexandria via LeMat-Bulk
Functional: PBE
Structure: optimized geometry

## Properties
The calculation puts the final energy at -8.969 eV/atom. The total magnetic moment is 0.0 μB per formula unit. The space group is Cmmm.

Cell and atoms, written as POSCAR:
```
Ta2ReHg
1.0
1.665 -2.333 0.000
1.665 2.333 0.000
0.000 0.000 9.236
Ta Re Hg
2 1 1
Direct
0.000 0.000 0.231
0.000 0.000 0.769
0.500 0.500 0.000
0.500 0.500 0.500
```

=====

Record 19
Compound: Y2TaReHg
Source: Alexandria via LeMat-Bulk
Functional: PBE
Structure: optimized geometry

## Properties
The calculation puts the final energy at -5.670 eV/atom. The total magnetic moment is 0.0 μB per formula unit. The space group is P4/mmm.

Cell and atoms, written as POSCAR:
```
Y2TaReHg
1.0
5.275 0.000 0.000
0.000 5.275 0.000
0.000 0.000 5.097
Y Ta Re Hg
2 1 1 1
Direct
0.000 0.500 0.000
0.500 0.000 0.000
0.000 0.000 0.000
0.500 0.500 0.500
0.000 0.000 0.500
```

=====

Record 20
Compound: TaZnReHg2
Source: Alexandria via LeMat-Bulk
Functional: PBE
Structure: optimized geometry

## Properties
The calculation puts the final energy at -3.636 eV/atom. The total magnetic moment is 1.1 μB per formula unit. The space group is P4/mmm.

Cell and atoms, written as POSCAR:
```
TaZnReHg2
1.0
4.676 0.000 0.000
0.000 4.676 0.000
0.000 0.000 4.807
Ta Zn Re Hg
1 1 1 2
Direct
0.000 0.000 0.000
0.500 0.500 0.500
0.500 0.500 0.000
0.000 0.500 0.500
0.500 0.000 0.500
```